Below is a relaxed NpZn13 crystal, with properties calculated at the PBE level.

Cell and atoms, written as POSCAR:
```
NpZn13
1.0
-2.030 -1.080 8.279
5.961 1.183 6.075
-0.484 6.802 5.228
Zn Np
26 2
direct
0.443 0.199 0.801 Zn
0.801 0.199 0.557 Zn
0.500 0.500 0.500 Zn
0.699 0.301 0.057 Zn
0.557 0.199 0.443 Zn
0.943 0.057 0.301 Zn
0.699 0.057 0.943 Zn
0.301 0.699 0.943 Zn
0.443 0.557 0.199 Zn
0.943 0.699 0.057 Zn
0.301 0.057 0.699 Zn
0.801 0.443 0.199 Zn
0.557 0.801 0.199 Zn
0.057 0.301 0.943 Zn
0.943 0.301 0.699 Zn
0.557 0.443 0.801 Zn
0.199 0.443 0.557 Zn
0.000 0.000 0.000 Zn
0.199 0.801 0.443 Zn
0.199 0.557 0.801 Zn
0.057 0.943 0.699 Zn
0.801 0.557 0.443 Zn
0.443 0.801 0.557 Zn
0.301 0.943 0.057 Zn
0.057 0.699 0.301 Zn
0.699 0.943 0.301 Zn
0.750 0.750 0.750 Np
0.250 0.250 0.250 Np
```

calculated total energy: -59.31 eV per cell
space group: No. 226

---

Below is a relaxed K2TlPdW crystal, with properties calculated at the PBE level.

Cell and atoms, written as POSCAR:
```
K2TlPdW
1.0
-3.214 -0.811 4.987
0.988 -5.220 -0.213
4.929 0.798 3.306
Pd W K Tl
1 1 2 1
direct
0.000 0.000 0.000 Pd
0.500 0.500 0.500 W
0.000 0.000 0.500 K
0.500 0.000 0.000 K
0.000 0.500 0.000 Tl
```

calculated total energy: -16.34 eV per cell
space group: No. 123

---

Below is a relaxed Tb12Pd6Ru crystal, with properties calculated at the PBE level.

Cell and atoms, written as POSCAR:
```
Tb12Pd6Ru
1.0
-7.659 -0.410 -2.984
1.272 -8.031 1.271
-1.790 2.214 7.722
Pd Tb Ru
6 12 1
direct
0.622 0.313 0.131 Pd
0.131 0.622 0.313 Pd
0.869 0.378 0.687 Pd
0.313 0.131 0.622 Pd
0.378 0.687 0.869 Pd
0.687 0.869 0.378 Pd
0.181 0.417 0.577 Tb
0.962 0.319 0.079 Tb
0.819 0.583 0.423 Tb
0.079 0.962 0.319 Tb
0.319 0.079 0.962 Tb
0.038 0.681 0.921 Tb
0.423 0.819 0.583 Tb
0.681 0.921 0.038 Tb
0.417 0.577 0.181 Tb
0.921 0.038 0.681 Tb
0.577 0.181 0.417 Tb
0.583 0.423 0.819 Tb
0.000 0.000 0.000 Ru
```

calculated total energy: -105.66 eV per cell
space group: No. 148

---

Below is a relaxed Cu2Ni2Ag crystal, with properties calculated at the PBE level.

Cell and atoms, written as POSCAR:
```
Cu2Ni2Ag
1.0
6.997 0.000 0.000
0.000 6.997 0.000
0.000 0.000 2.649
Ag Cu Ni
2 4 4
direct
0.000 0.000 0.000 Ag
0.500 0.500 0.000 Ag
0.672 0.828 0.500 Cu
0.828 0.328 0.500 Cu
0.328 0.172 0.500 Cu
0.172 0.672 0.500 Cu
0.378 0.878 0.000 Ni
0.878 0.622 0.000 Ni
0.122 0.378 0.000 Ni
0.622 0.122 0.000 Ni
```

distance to the lowest polymorph of the same formula: 0.00 eV/f.u.
space group: No. 127

---

Below is a relaxed SmZr2Sc crystal, with properties calculated at the PBE level.

Cell and atoms, written as POSCAR:
```
SmZr2Sc
1.0
-1.526 3.238 1.268
-0.111 -1.429 3.516
6.495 2.571 1.249
Sc Sm Zr
1 1 2
direct
0.500 0.500 0.000 Sc
0.500 0.500 0.500 Sm
0.000 0.000 0.786 Zr
0.000 0.000 0.214 Zr
```

distance to the lowest polymorph of the same formula: 0.29 eV/f.u.
space group: No. 123

---

Below is a relaxed Li2BeSb crystal, with properties calculated at the PBE level.

Cell and atoms, written as POSCAR:
```
Li2BeSb
1.0
-1.915 3.384 2.140
-1.061 1.131 4.158
4.447 2.594 1.016
Be Sb Li
1 1 2
direct
0.248 0.248 0.233 Be
0.508 0.508 0.474 Sb
0.751 0.751 0.781 Li
0.993 0.993 0.012 Li
```

distance to the lowest polymorph of the same formula: 0.60 eV/f.u.
formation energy (no corrections): 18 meV/atom
space group: No. 8

---

Below is a relaxed AcDyGa2Ge2 crystal, with properties calculated at the PBE level.

Cell and atoms, written as POSCAR:
```
AcDyGa2Ge2
1.0
4.238 0.000 0.000
-2.119 3.670 0.000
0.000 0.000 9.125
Ga Ge Dy Ac
2 2 1 1
direct
0.667 0.333 0.228 Ga
0.333 0.667 0.772 Ga
0.333 0.667 0.309 Ge
0.667 0.333 0.691 Ge
0.000 0.000 0.500 Dy
0.000 0.000 0.000 Ac
```

calculated total energy: -27.92 eV per cell
space group: No. 164

---

Below is a relaxed Tc3PO crystal, with properties calculated at the PBE level.

Cell and atoms, written as POSCAR:
```
Tc3PO
1.0
4.045 0.000 0.000
0.000 4.045 0.000
0.000 0.000 4.045
Tc P O
3 1 1
direct
0.000 0.500 0.000 Tc
0.000 0.000 0.500 Tc
0.500 0.000 0.000 Tc
0.500 0.500 0.500 P
0.000 0.000 0.000 O
```

distance to the lowest polymorph of the same formula: 0.00 eV/f.u.
formation energy (no corrections): 288 meV/atom
space group: No. 221

---

Below is a relaxed SbMoCl2 crystal, with properties calculated at the PBE level.

Cell and atoms, written as POSCAR:
```
SbMoCl2
1.0
6.880 0.000 0.000
0.000 6.880 0.000
3.440 3.440 4.824
Sb Cl Mo
2 4 2
direct
0.000 0.000 0.000 Sb
0.750 0.250 0.500 Sb
0.507 0.125 0.250 Cl
0.243 0.625 0.250 Cl
0.375 0.493 0.750 Cl
0.875 0.757 0.750 Cl
0.250 0.750 0.500 Mo
0.500 0.500 0.000 Mo
```

distance to the lowest polymorph of the same formula: 3.78 eV/f.u.
formation energy (no corrections): 640 meV/atom
space group: No. 122

---

Below is a relaxed Cu2PdPt4 crystal, with properties calculated at the PBE level.

Cell and atoms, written as POSCAR:
```
Cu2PdPt4
1.0
-2.682 -7.393 -5.105
2.425 -9.050 0.355
-5.153 -4.485 3.460
Pt Cu Pd
16 8 4
direct
0.625 0.125 0.625 Pt
0.503 0.997 0.503 Pt
0.125 0.625 0.625 Pt
0.503 0.997 0.997 Pt
0.747 0.253 0.253 Pt
0.625 0.625 0.625 Pt
0.747 0.253 0.747 Pt
0.997 0.503 0.997 Pt
0.997 0.503 0.503 Pt
0.625 0.625 0.125 Pt
0.250 0.250 0.750 Pt
0.253 0.747 0.253 Pt
0.500 0.500 0.000 Pt
0.000 0.000 0.500 Pt
0.750 0.750 0.250 Pt
0.253 0.747 0.747 Pt
0.375 0.874 0.875 Cu
0.375 0.375 0.875 Cu
0.874 0.375 0.875 Cu
0.875 0.376 0.375 Cu
0.875 0.875 0.375 Cu
0.375 0.375 0.376 Cu
0.875 0.875 0.874 Cu
0.376 0.875 0.375 Cu
0.125 0.125 0.625 Pd
0.125 0.625 0.125 Pd
0.125 0.125 0.125 Pd
0.625 0.125 0.125 Pd
```

distance to the lowest polymorph of the same formula: 0.00 eV/f.u.
space group: No. 141

---

Below is a relaxed AlWSe crystal, with properties calculated at the PBE level.

Cell and atoms, written as POSCAR:
```
AlWSe
1.0
-2.038 0.459 -3.823
2.283 -0.083 -3.709
-0.355 -3.399 -2.701
Se W Al
1 1 1
direct
0.500 0.500 0.500 Se
0.750 0.750 0.750 W
0.000 0.000 0.000 Al
```

distance to the lowest polymorph of the same formula: 2.29 eV/f.u.
formation energy (no corrections): 772 meV/atom
space group: No. 216

---

Below is a relaxed PmSiSnPd crystal, with properties calculated at the PBE level.

Cell and atoms, written as POSCAR:
```
PmSiSnPd
1.0
-1.019 4.462 -1.849
-3.836 0.591 -3.051
-4.009 2.445 1.521
Sn Pm Pd Si
1 1 1 1
direct
0.750 0.750 0.750 Sn
0.250 0.250 0.250 Pm
0.000 0.000 0.000 Pd
0.500 0.500 0.500 Si
```

formation energy (no corrections): -398 meV/atom
space group: No. 216

---

Below is a relaxed Al2NiIr crystal, with properties calculated at the PBE level.

Cell and atoms, written as POSCAR:
```
Al2NiIr
1.0
4.758 0.000 -0.004
3.866 2.774 -0.004
1.159 0.373 4.049
Al Ir Ni
2 1 1
direct
0.992 0.992 0.063 Al
0.756 0.756 0.691 Al
0.496 0.496 0.561 Ir
0.256 0.256 0.185 Ni
```

calculated total energy: -24.95 eV per cell
space group: No. 8

---

Below is a relaxed NaNbTe2 crystal, with properties calculated at the PBE level.

Cell and atoms, written as POSCAR:
```
NaNbTe2
1.0
7.013 0.000 0.000
0.000 7.013 0.000
3.507 3.507 6.216
Te Nb Na
4 2 2
direct
0.075 0.625 0.250 Te
0.875 0.925 0.750 Te
0.375 0.325 0.750 Te
0.675 0.125 0.250 Te
0.750 0.250 0.500 Nb
0.000 0.000 0.000 Nb
0.500 0.500 0.000 Na
0.250 0.750 0.500 Na
```

formation energy (no corrections): -242 meV/atom
space group: No. 122

---

Below is a relaxed K2YZr crystal, with properties calculated at the PBE level.

Cell and atoms, written as POSCAR:
```
K2YZr
1.0
5.965 0.000 0.000
0.000 5.965 0.000
0.000 0.000 4.206
K Y Zr
2 1 1
direct
0.000 0.000 0.000 K
0.500 0.500 0.000 K
0.500 0.000 0.500 Y
0.000 0.500 0.500 Zr
```

distance to the lowest polymorph of the same formula: 3.36 eV/f.u.
space group: No. 123

---

Below is a relaxed AlNiCl2 crystal, with properties calculated at the PBE level.

Cell and atoms, written as POSCAR:
```
AlNiCl2
1.0
5.927 0.046 0.041
0.560 5.900 -0.041
-1.364 -5.024 2.834
Cl Al Ni
2 1 1
direct
0.328 0.828 0.500 Cl
0.927 0.927 0.000 Cl
0.728 0.228 0.500 Al
0.518 0.518 0.000 Ni
```

distance to the lowest polymorph of the same formula: 0.75 eV/f.u.
formation energy (no corrections): -384 meV/atom
space group: No. 44

---

Below is a relaxed TlH3 crystal, with properties calculated at the PBE level.

Cell and atoms, written as POSCAR:
```
TlH3
1.0
5.029 0.083 -1.553
-0.245 2.946 -0.953
0.634 2.234 11.051
H Tl
6 2
direct
0.046 0.566 0.025 H
0.954 0.434 0.975 H
0.567 0.605 0.189 H
0.593 0.588 0.125 H
0.433 0.395 0.811 H
0.407 0.412 0.875 H
0.785 0.779 0.572 Tl
0.215 0.221 0.428 Tl
```

calculated total energy: -24.43 eV per cell
space group: No. 2

---

Below is a relaxed CsNaI2 crystal, with properties calculated at the PBE level.

Cell and atoms, written as POSCAR:
```
CsNaI2
1.0
5.919 0.000 -0.003
0.000 5.919 -0.003
0.006 0.006 11.436
Na I Cs
2 4 2
direct
0.250 0.250 0.410 Na
0.750 0.750 0.590 Na
0.750 0.750 0.855 I
0.250 0.250 0.145 I
0.250 0.750 0.500 I
0.750 0.250 0.500 I
0.250 0.250 0.810 Cs
0.750 0.750 0.190 Cs
```

distance to the lowest polymorph of the same formula: 0.00 eV/f.u.
formation energy (no corrections): -1368 meV/atom
space group: No. 129

---

Below is a relaxed CaCu4Ge crystal, with properties calculated at the PBE level.

Cell and atoms, written as POSCAR:
```
CaCu4Ge
1.0
-0.112 -4.929 -1.129
-0.561 -3.425 3.680
-4.326 -2.590 0.406
Ge Cu Ca
1 4 1
direct
0.250 0.250 0.250 Ge
0.625 0.625 0.625 Cu
0.126 0.625 0.625 Cu
0.625 0.126 0.625 Cu
0.625 0.625 0.126 Cu
0.000 0.000 0.000 Ca
```

distance to the lowest polymorph of the same formula: 0.00 eV/f.u.
space group: No. 216

---

Below is a relaxed Pm2ZnPt5Rh2 crystal, with properties calculated at the PBE level.

Cell and atoms, written as POSCAR:
```
Pm2ZnPt5Rh2
1.0
4.101 0.000 0.000
0.000 9.439 0.000
0.000 0.000 9.439
Pm Pt Rh Zn
4 10 4 2
direct
0.000 0.171 0.329 Pm
0.000 0.829 0.671 Pm
0.000 0.329 0.829 Pm
0.000 0.671 0.171 Pm
0.500 0.199 0.061 Pt
0.500 0.801 0.939 Pt
0.500 0.301 0.561 Pt
0.500 0.699 0.439 Pt
0.500 0.939 0.199 Pt
0.500 0.500 0.000 Pt
0.500 0.000 0.500 Pt
0.500 0.061 0.801 Pt
0.500 0.561 0.699 Pt
0.500 0.439 0.301 Pt
0.000 0.128 0.628 Rh
0.000 0.372 0.128 Rh
0.000 0.872 0.372 Rh
0.000 0.628 0.872 Rh
0.000 0.000 0.000 Zn
0.000 0.500 0.500 Zn
```

calculated total energy: -124.54 eV per cell
space group: No. 127